## Be2HF (PBE)

Data for an optimized crystal structure of Be2HF.

Calculated values
The calculation puts the energy relative to the lowest polymorph listed for this composition at 0.000 eV/atom.

CIF file:
```
data_Be2HF
_symmetry_space_group_name_H-M 'P 1'
_symmetry_Int_Tables_number 1
_symmetry_space_group_name_Hall 'P 1'
_cell_length_a 3.926
_cell_length_b 3.926
_cell_length_c 8.254
_cell_angle_alpha 90.00
_cell_angle_beta 90.00
_cell_angle_gamma 90.00
loop_
_atom_site_label
_atom_site_type_symbol
_atom_site_fract_x
_atom_site_fract_y
_atom_site_fract_z
Be1 Be 0.189 0.250 0.125
Be2 Be 0.250 0.689 0.375
Be3 Be 0.250 0.811 0.875
Be4 Be 0.311 0.250 0.625
Be5 Be 0.689 0.750 0.625
Be6 Be 0.750 0.189 0.875
Be7 Be 0.750 0.311 0.375
Be8 Be 0.811 0.750 0.125
H1 H 0.000 0.000 0.000
H2 H 0.000 0.500 0.250
H3 H 0.500 0.000 0.750
H4 H 0.500 0.500 0.500
F1 F 0.000 0.000 0.500
F2 F 0.000 0.500 0.750
F3 F 0.500 0.000 0.250
F4 F 0.500 0.500 0.000
```

## BeH3F (PBE)

Data for an optimized crystal structure of BeH3F.

Calculated values
The calculation puts the energy relative to the lowest polymorph listed for this composition at 0.000 eV/atom.

CIF file:
```
data_BeH3F
_symmetry_space_group_name_H-M 'P 1'
_symmetry_Int_Tables_number 1
_symmetry_space_group_name_Hall 'P 1'
_cell_length_a 3.177
_cell_length_b 3.177
_cell_length_c 3.177
_cell_angle_alpha 90.00
_cell_angle_beta 90.00
_cell_angle_gamma 90.00
loop_
_atom_site_label
_atom_site_type_symbol
_atom_site_fract_x
_atom_site_fract_y
_atom_site_fract_z
Be1 Be 0.000 0.000 0.000
H1 H 0.000 0.000 0.500
H2 H 0.000 0.500 0.000
H3 H 0.500 0.000 0.000
F1 F 0.500 0.500 0.500
```

## BeH2F (PBE)

Data for an optimized crystal structure of BeH2F.

Calculated values
The calculation puts the energy relative to the lowest polymorph listed for this composition at 0.943 eV/atom.

CIF file:
```
data_BeH2F
_symmetry_space_group_name_H-M 'P 1'
_symmetry_Int_Tables_number 1
_symmetry_space_group_name_Hall 'P 1'
_cell_length_a 4.757
_cell_length_b 4.757
_cell_length_c 4.757
_cell_angle_alpha 90.00
_cell_angle_beta 90.00
_cell_angle_gamma 90.00
loop_
_atom_site_label
_atom_site_type_symbol
_atom_site_fract_x
_atom_site_fract_y
_atom_site_fract_z
Be1 Be 0.000 0.000 0.000
Be2 Be 0.000 0.500 0.500
Be3 Be 0.500 0.000 0.500
Be4 Be 0.500 0.500 0.000
H1 H 0.250 0.250 0.250
H2 H 0.250 0.250 0.750
H3 H 0.250 0.750 0.250
H4 H 0.250 0.750 0.750
H5 H 0.750 0.250 0.250
H6 H 0.750 0.250 0.750
H7 H 0.750 0.750 0.250
H8 H 0.750 0.750 0.750
F1 F 0.000 0.000 0.500
F2 F 0.000 0.500 0.000
F3 F 0.500 0.000 0.000
F4 F 0.500 0.500 0.500
```

## BeHF (PBE)

Data for an optimized crystal structure of BeHF.

Calculated values
The calculation puts the energy relative to the lowest polymorph listed for this composition at 0.086 eV/atom.

CIF file:
```
data_BeHF
_symmetry_space_group_name_H-M 'P 1'
_symmetry_Int_Tables_number 1
_symmetry_space_group_name_Hall 'P 1'
_cell_length_a 2.548
_cell_length_b 2.684
_cell_length_c 8.094
_cell_angle_alpha 90.00
_cell_angle_beta 90.00
_cell_angle_gamma 90.00
loop_
_atom_site_label
_atom_site_type_symbol
_atom_site_fract_x
_atom_site_fract_y
_atom_site_fract_z
Be1 Be 0.250 0.250 0.235
Be2 Be 0.750 0.750 0.765
H1 H 0.250 0.750 0.864
H2 H 0.750 0.250 0.136
F1 F 0.250 0.750 0.335
F2 F 0.750 0.250 0.665
```

## Be2HF (PBE)

Data for an optimized crystal structure of Be2HF.

Calculated values
The calculation puts the energy relative to the lowest polymorph listed for this composition at 0.709 eV/atom.

CIF file:
```
data_Be2HF
_symmetry_space_group_name_H-M 'P 1'
_symmetry_Int_Tables_number 1
_symmetry_space_group_name_Hall 'P 1'
_cell_length_a 5.162
_cell_length_b 5.162
_cell_length_c 5.162
_cell_angle_alpha 90.00
_cell_angle_beta 90.00
_cell_angle_gamma 90.00
loop_
_atom_site_label
_atom_site_type_symbol
_atom_site_fract_x
_atom_site_fract_y
_atom_site_fract_z
Be1 Be 0.250 0.250 0.250
Be2 Be 0.250 0.250 0.750
Be3 Be 0.250 0.750 0.250
Be4 Be 0.250 0.750 0.750
Be5 Be 0.750 0.250 0.250
Be6 Be 0.750 0.250 0.750
Be7 Be 0.750 0.750 0.250
Be8 Be 0.750 0.750 0.750
H1 H 0.000 0.000 0.000
H2 H 0.000 0.500 0.500
H3 H 0.500 0.000 0.500
H4 H 0.500 0.500 0.000
F1 F 0.000 0.000 0.500
F2 F 0.000 0.500 0.000
F3 F 0.500 0.000 0.000
F4 F 0.500 0.500 0.500
```

## Be2H2F7 (PBE)

Data for an optimized crystal structure of Be2H2F7.

Calculated values
The calculation puts the energy relative to the lowest polymorph listed for this composition at 0.213 eV/atom.

CIF file:
```
data_Be2H2F7
_symmetry_space_group_name_H-M 'P 1'
_symmetry_Int_Tables_number 1
_symmetry_space_group_name_Hall 'P 1'
_cell_length_a 5.296
_cell_length_b 5.296
_cell_length_c 5.180
_cell_angle_alpha 114.17
_cell_angle_beta 114.17
_cell_angle_gamma 78.10
loop_
_atom_site_label
_atom_site_type_symbol
_atom_site_fract_x
_atom_site_fract_y
_atom_site_fract_z
Be1 Be 0.167 0.833 0.000
Be2 Be 0.833 0.167 0.000
H1 H 0.433 0.433 0.627
H2 H 0.567 0.567 0.373
F1 F 0.108 0.108 0.926
F2 F 0.185 0.554 0.745
F3 F 0.446 0.815 0.255
F4 F 0.500 0.500 0.500
F5 F 0.554 0.185 0.745
F6 F 0.815 0.446 0.255
F7 F 0.892 0.892 0.074
```

## BeH3F (PBE)

Data for an optimized crystal structure of BeH3F.

Calculated values
The calculation puts the energy relative to the lowest polymorph listed for this composition at 0.682 eV/atom.

CIF file:
```
data_BeH3F
_symmetry_space_group_name_H-M 'P 1'
_symmetry_Int_Tables_number 1
_symmetry_space_group_name_Hall 'P 1'
_cell_length_a 3.369
_cell_length_b 3.369
_cell_length_c 3.369
_cell_angle_alpha 90.00
_cell_angle_beta 90.00
_cell_angle_gamma 90.00
loop_
_atom_site_label
_atom_site_type_symbol
_atom_site_fract_x
_atom_site_fract_y
_atom_site_fract_z
Be1 Be 0.000 0.000 0.000
H1 H 0.000 0.500 0.500
H2 H 0.500 0.000 0.500
H3 H 0.500 0.500 0.000
F1 F 0.500 0.500 0.500
```

## BeH2IF (PBE)

Data for an optimized crystal structure of BeH2IF.

Calculated values
For the total energy, the calculation gives -2.1749 eV per atom.

CIF file:
```
data_BeH2IF
_symmetry_space_group_name_H-M 'P 1'
_symmetry_Int_Tables_number 1
_symmetry_space_group_name_Hall 'P 1'
_cell_length_a 3.469
_cell_length_b 3.469
_cell_length_c 7.103
_cell_angle_alpha 90.00
_cell_angle_beta 90.00
_cell_angle_gamma 90.00
loop_
_atom_site_label
_atom_site_type_symbol
_atom_site_fract_x
_atom_site_fract_y
_atom_site_fract_z
Be1 Be 0.000 0.000 0.000
H1 H 0.000 0.500 0.500
H2 H 0.500 0.000 0.500
I1 I 0.500 0.500 0.000
F1 F 0.500 0.500 0.500
```

Summary of size of the total moment in μB/f.u.
0.00 0.00 0.91 0.00 0.00 1.01 0.00 0.00
(order as listed above)
Summary of D(E_F) in states/eV/atom
0.025 0.406 0.138 0.000 0.528 0.082 0.258 0.087
(order as listed above)